# 1
The following is a PBE calculation of a relaxed Si3NiIr crystal, from the Alexandria database.

Cell: 4.280 4.280 4.280 Å, 90.00 90.00 90.00°
Element x y z (fractional)
Ni  0.000  0.000  0.000
Si  0.000  0.500  0.000
Si  0.000  0.000  0.500
Si  0.500  0.000  0.000
Ir  0.500  0.500  0.500

E above lowest polymorph	0	meV/atom
E	-5.596	eV per atom
DOS at the Fermi energy	3.5	states/eV per cell
space group	Pm-3m (221)

# 2
The following is a PBE calculation of a relaxed SiNiIr crystal, from the Alexandria database.

Cell: 3.948 3.948 2.800 Å, 90.00 90.00 120.00°
Element x y z (fractional)
Si  0.667  0.333  0.068
Ir  0.000  0.000  0.715
Ni  0.333  0.667  0.208

E	-7.081	eV per atom
DOS at the Fermi energy	1.5	states/eV per cell
space group	P3m1 (156)

M_tot per entry: 0.0000 0.0000 μB per atom
Energy relative to the elements, uncorrected per entry: 0.5867 -0.3924 eV/atom